Record 1
! Sr2InH2, relaxed, DFT GGA-PBE; values from VASP
&SYSTEM
  ibrav = 0, nat = 10, ntyp = 3
/
ATOMIC_SPECIES
Sr 87.62 Sr.upf
In 114.82 In.upf
H 1.01 H.upf
ATOMIC_POSITIONS angstrom
Sr 0.0000 0.0000 2.2534
Sr 0.0000 0.0000 12.3226
Sr 2.0160 2.0160 5.0346
Sr 2.0160 2.0160 9.5415
In 0.0000 0.0000 7.2880
In 2.0160 2.0160 0.0000
H 0.0000 2.0160 3.6440
H 0.0000 2.0160 10.9320
H 2.0160 0.0000 3.6440
H 2.0160 0.0000 10.9320
CELL_PARAMETERS angstrom
4.0321 0.0000 0.0000
0.0000 4.0321 0.0000
0.0000 0.0000 14.5761
! - Energy relative to the lowest polymorph listed for this composition: 0 meV/atom
! - Electronic total energy: -30.17 eV per cell

Record 2
! SnAsSe2Br, relaxed, DFT GGA-PBE; values from VASP
&SYSTEM
  ibrav = 0, nat = 5, ntyp = 4
/
ATOMIC_SPECIES
Sn 118.71 Sn.upf
As 74.92 As.upf
Se 78.96 Se.upf
Br 79.90 Br.upf
ATOMIC_POSITIONS angstrom
Sn 0.0000 0.0000 0.0000
As 2.5892 2.5892 0.0000
Se 0.0000 2.5892 2.5882
Se 2.5892 0.0000 2.5882
Br 2.5892 2.5892 2.5882
CELL_PARAMETERS angstrom
5.1783 0.0000 0.0000
0.0000 5.1783 0.0000
0.0000 0.0000 5.1765
! - Energy relative to the elements, uncorrected: 3.79 eV per formula unit
! - Energy relative to the lowest polymorph listed for this composition: 686 meV/atom
! - Electronic total energy: -13.50 eV per cell

Record 3
! LaNi2I2, relaxed, DFT GGA-PBE; values from VASP
&SYSTEM
  ibrav = 0, nat = 10, ntyp = 3
/
ATOMIC_SPECIES
La 138.91 La.upf
Ni 58.69 Ni.upf
I 126.90 I.upf
ATOMIC_POSITIONS angstrom
La 0.0000 0.0000 0.0000
La 1.9866 1.9866 6.8960
Ni 0.0000 1.9866 3.4480
Ni 0.0000 1.9866 10.3440
Ni 1.9866 0.0000 3.4480
Ni 1.9866 0.0000 10.3440
I 0.0000 0.0000 5.1194
I 0.0000 0.0000 8.6726
I 1.9866 1.9866 1.7766
I 1.9866 1.9866 12.0154
CELL_PARAMETERS angstrom
3.9732 0.0000 0.0000
0.0000 3.9732 0.0000
0.0000 0.0000 13.7920
! - Energy relative to the elements, uncorrected: -0.82 eV per formula unit
! - Energy relative to the lowest polymorph listed for this composition: 0 meV/atom
! - Electronic total energy: -40.83 eV per cell

Record 4
! TbNd2Pd2, relaxed, DFT GGA-PBE; values from VASP
&SYSTEM
  ibrav = 0, nat = 10, ntyp = 3
/
ATOMIC_SPECIES
Tb 158.93 Tb.upf
Nd 144.24 Nd.upf
Pd 106.42 Pd.upf
ATOMIC_POSITIONS angstrom
Tb 0.0000 0.0000 0.0000
Tb 3.9866 3.9866 0.0000
Nd 1.3410 2.6455 2.0242
Nd 2.6455 6.6321 2.0242
Nd 5.3276 1.3410 2.0242
Nd 6.6321 5.3276 2.0242
Pd 1.0317 5.0183 0.0000
Pd 2.9548 1.0317 0.0000
Pd 5.0183 6.9414 0.0000
Pd 6.9414 2.9548 0.0000
CELL_PARAMETERS angstrom
7.9731 0.0000 0.0000
0.0000 7.9731 0.0000
0.0000 0.0000 4.0483
! - Formation energy: -3.28 eV per formula unit
! - Energy relative to the lowest polymorph listed for this composition: 4 meV/atom
! - Electronic total energy: -55.67 eV per cell

Record 5
! FeH2Au2, relaxed, DFT GGA-PBE; values from VASP
&SYSTEM
  ibrav = 0, nat = 10, ntyp = 3
/
ATOMIC_SPECIES
Fe 55.84 Fe.upf
H 1.01 H.upf
Au 196.97 Au.upf
ATOMIC_POSITIONS angstrom
Fe 0.0000 0.0000 0.0000
Fe 2.8977 2.8977 0.0000
H 1.4433 1.4544 0.0000
H 1.4544 4.3521 0.0000
H 4.3410 1.4433 0.0000
H 4.3521 4.3410 0.0000
Au 1.4433 1.4544 1.8674
Au 1.4544 4.3521 1.8674
Au 4.3410 1.4433 1.8674
Au 4.3521 4.3410 1.8674
CELL_PARAMETERS angstrom
5.7954 0.0000 0.0000
0.0000 5.7954 0.0000
0.0000 0.0000 3.7348
! - Electronic total energy: -41.03 eV per cell

Record 6
! Cd3H12Ru5, relaxed, DFT GGA-PBE; values from VASP
&SYSTEM
  ibrav = 0, nat = 80, ntyp = 3
/
ATOMIC_SPECIES
Cd 112.41 Cd.upf
H 1.01 H.upf
Ru 101.07 Ru.upf
ATOMIC_POSITIONS angstrom
Cd 2.8088 1.4044 0.0000
Cd 5.6175 2.8088 -1.4044
Cd 1.4044 0.0000 2.8088
Cd 7.0219 0.0000 2.8088
Cd 0.0000 2.8088 1.4044
Cd 2.8088 -1.4044 5.6175
Cd 2.8088 7.0219 0.0000
Cd 5.6175 2.8088 4.2131
Cd -1.4044 5.6175 2.8088
Cd 4.2131 5.6175 2.8088
Cd 0.0000 2.8088 7.0219
Cd 2.8088 4.2131 5.6175
H 1.5169 -0.5467 0.7156
H 6.9094 3.5244 -3.3555
H 5.0708 -0.7156 1.5169
H 8.9730 -1.2918 2.0931
H 0.7156 1.5169 -0.5467
H 7.7107 2.2621 -1.2918
H 7.1345 0.5467 0.7156
H 6.9094 -2.0931 3.3555
H 3.5244 3.3555 -1.2918
H 4.9019 1.5169 0.5467
H -0.5467 0.7156 1.5169
H 3.3555 -1.2918 3.5244
H 5.0708 4.9019 -1.5169
H 3.3555 1.2918 2.0931
H 4.9019 -1.5169 5.0708
H 3.5244 -3.3555 6.9094
H 1.5169 5.0708 -0.7156
H 6.9094 2.0931 2.2621
H 2.0931 3.3555 1.2918
H 6.3332 4.1006 0.5467
H 3.3555 6.9094 -2.0931
H 5.0708 0.7156 4.1006
H 1.2918 2.0931 3.3555
H 1.5169 0.5467 4.9019
H 4.1006 5.0708 0.7156
H 4.3257 3.5244 2.2621
H 0.5467 4.9019 1.5169
H 2.2621 -1.2918 7.7107
H -0.7156 1.5169 5.0708
H 3.5244 2.2621 4.3257
H -1.2918 3.5244 3.3555
H 4.1006 0.5467 6.3332
H 2.0931 8.9730 -1.2918
H 0.7156 7.1345 0.5467
H 2.2621 4.3257 3.5244
H 0.5467 0.7156 7.1345
H 2.2621 6.9094 2.0931
H 6.1642 4.9019 4.1006
H 0.7156 4.1006 5.0708
H 2.0931 2.2621 6.9094
H -1.2918 7.7107 2.2621
H -1.5169 5.0708 4.9019
H -2.0931 3.3555 6.9094
H 4.9019 4.1006 6.1642
H -3.3555 6.9094 3.5244
H 0.5467 6.3332 4.1006
H -1.2918 2.0931 8.9730
H 4.1006 6.1642 4.9019
Ru 0.0000 0.0000 0.0000
Ru 2.8088 2.8088 -2.8088
Ru 2.8088 -2.8088 2.8088
Ru 5.6175 0.0000 0.0000
Ru 8.4263 1.4044 0.0000
Ru 5.6175 -2.8088 4.2131
Ru 4.2131 5.6175 -2.8088
Ru 4.2131 0.0000 2.8088
Ru 2.8088 4.2131 0.0000
Ru 5.6175 2.8088 1.4044
Ru -2.8088 2.8088 2.8088
Ru 0.0000 5.6175 0.0000
Ru 0.0000 0.0000 5.6175
Ru 2.8088 2.8088 2.8088
Ru 0.0000 2.8088 4.2131
Ru 2.8088 1.4044 5.6175
Ru 1.4044 5.6175 2.8088
Ru 1.4044 0.0000 8.4263
Ru 0.0000 8.4263 1.4044
Ru -2.8088 4.2131 5.6175
CELL_PARAMETERS angstrom
-5.6175 5.6175 5.6175
5.6175 -5.6175 5.6175
5.6175 5.6175 -5.6175
! - Electronic total energy: -337.02 eV per cell

Record 7
! U5Sb, relaxed, DFT GGA-PBE; values from VASP
&SYSTEM
  ibrav = 0, nat = 12, ntyp = 2
/
ATOMIC_SPECIES
U 238.03 U.upf
Sb 121.76 Sb.upf
ATOMIC_POSITIONS angstrom
U 0.0000 0.0000 0.0000
U 0.0000 2.1717 1.9642
U 0.0000 3.9565 0.0000
U 0.0000 8.7755 0.0000
U 0.0000 10.5603 1.9642
U 2.5640 2.4095 0.0000
U 2.5640 4.1943 1.9642
U 2.5640 6.3660 0.0000
U 2.5640 8.5377 1.9642
U 2.5640 10.3225 0.0000
Sb 0.0000 6.3660 1.9642
Sb 2.5640 0.0000 1.9642
CELL_PARAMETERS angstrom
5.1279 0.0000 0.0000
0.0000 12.7320 0.0000
0.0000 0.0000 3.9285
! - Energy relative to the elements, uncorrected: 0.41 eV per formula unit
! - Electronic total energy: -120.30 eV per cell

Record 8
! ZnInF2, relaxed, DFT GGA-PBE; values from VASP
&SYSTEM
  ibrav = 0, nat = 16, ntyp = 3
/
ATOMIC_SPECIES
Zn 65.41 Zn.upf
In 114.82 In.upf
F 19.00 F.upf
ATOMIC_POSITIONS angstrom
Zn 0.0000 0.0000 0.0000
Zn 0.0000 3.1730 3.1730
Zn 3.1730 0.0000 3.1730
Zn 3.1730 3.1730 0.0000
In 0.0000 0.0000 3.1730
In 0.0000 3.1730 0.0000
In 3.1730 0.0000 0.0000
In 3.1730 3.1730 3.1730
F 1.5865 1.5865 1.5865
F 1.5865 1.5865 4.7595
F 1.5865 4.7595 1.5865
F 1.5865 4.7595 4.7595
F 4.7595 1.5865 1.5865
F 4.7595 1.5865 4.7595
F 4.7595 4.7595 1.5865
F 4.7595 4.7595 4.7595
CELL_PARAMETERS angstrom
6.3460 0.0000 0.0000
0.0000 6.3460 0.0000
0.0000 0.0000 6.3460
! - Energy relative to the elements, uncorrected: -4.53 eV per formula unit
! - Energy relative to the lowest polymorph listed for this composition: 431 meV/atom
! - Electronic total energy: -49.15 eV per cell

Record 9
! TiNbPb, relaxed, DFT GGA-PBE; values from VASP
&SYSTEM
  ibrav = 0, nat = 12, ntyp = 3
/
ATOMIC_SPECIES
Ti 47.87 Ti.upf
Nb 92.91 Nb.upf
Pb 207.20 Pb.upf
ATOMIC_POSITIONS angstrom
Ti 0.0043 0.0000 2.7092
Ti 1.4168 2.4408 3.8624
Ti 4.2365 2.4408 2.7092
Ti 5.6490 0.0000 3.8624
Nb 1.4110 2.4408 1.2827
Nb 0.0101 0.0000 5.2888
Nb 5.6432 0.0000 1.2827
Nb 4.2423 2.4408 5.2888
Pb -1.4020 2.4408 4.9143
Pb 2.8230 0.0000 1.6572
Pb 2.8303 0.0000 4.9143
Pb 7.0553 2.4408 1.6572
CELL_PARAMETERS angstrom
8.4645 0.0000 0.0000
0.0000 4.8815 0.0000
-2.8112 0.0000 6.5715
! - Formation energy: 1.27 eV per formula unit
! - Energy relative to the lowest polymorph listed for this composition: 154 meV/atom
! - Electronic total energy: -81.60 eV per cell

Record 10
! La2GdPu, relaxed, DFT GGA-PBE; values from VASP
&SYSTEM
  ibrav = 0, nat = 4, ntyp = 3
/
ATOMIC_SPECIES
La 138.91 La.upf
Gd 157.25 Gd.upf
Pu 244.00 Pu.upf
ATOMIC_POSITIONS angstrom
La 0.0000 2.5540 0.0000
La 2.5540 0.0000 0.0000
Gd 0.0000 0.0000 2.4901
Pu 2.5540 2.5540 2.4901
CELL_PARAMETERS angstrom
5.1080 0.0000 0.0000
0.0000 5.1080 0.0000
0.0000 0.0000 4.9801
! - Formation energy: 0.56 eV per formula unit
! - Electronic total energy: -37.71 eV per cell

Record 11
! AgPtSCl2, relaxed, DFT GGA-PBE; values from VASP
&SYSTEM
  ibrav = 0, nat = 5, ntyp = 4
/
ATOMIC_SPECIES
Ag 107.87 Ag.upf
Pt 195.08 Pt.upf
S 32.06 S.upf
Cl 35.45 Cl.upf
ATOMIC_POSITIONS angstrom
Ag 0.0000 0.0000 0.0000
Pt 2.5283 2.5283 2.2689
S 2.5283 2.5283 0.0000
Cl 0.0000 2.5283 2.2689
Cl 2.5283 0.0000 2.2689
CELL_PARAMETERS angstrom
5.0566 0.0000 0.0000
0.0000 5.0566 0.0000
0.0000 0.0000 4.5377
! - Energy relative to the elements, uncorrected: 0.63 eV per formula unit
! - Energy relative to the lowest polymorph listed for this composition: 0 meV/atom
! - Electronic total energy: -16.09 eV per cell

Record 12
! Cs4SmTm3Te8, relaxed, DFT GGA-PBE; values from VASP
&SYSTEM
  ibrav = 0, nat = 16, ntyp = 4
/
ATOMIC_SPECIES
Cs 132.91 Cs.upf
Sm 150.36 Sm.upf
Tm 168.93 Tm.upf
Te 127.60 Te.upf
ATOMIC_POSITIONS angstrom
Cs 0.0000 0.0000 0.0000
Cs -2.2706 -1.3109 8.9143
Cs -2.2705 1.3109 17.8286
Cs 0.0000 2.6218 8.9143
Sm 0.0000 0.0000 13.3715
Tm -4.5411 0.0000 13.3715
Tm -2.2705 1.3109 4.4571
Tm 2.2706 1.3109 4.4572
Te -2.3166 -1.3375 15.0604
Te 0.0000 0.0000 6.1202
Te 0.0000 -2.6750 11.6826
Te -2.3166 1.3375 11.6826
Te 2.3166 -1.3375 15.0604
Te 0.0000 2.6750 15.0604
Te 0.0000 0.0000 20.6227
Te 2.3166 1.3375 11.6826
CELL_PARAMETERS angstrom
4.5411 2.6218 8.9143
-4.5411 2.6218 8.9143
0.0000 -5.2436 8.9143
! - Energy relative to the elements, uncorrected: -21.89 eV per formula unit
! - Electronic total energy: -68.57 eV per cell